This record from Alexandria via LeMat-Bulk describes a geometry-optimized KBa2CdPt structure. The functional is PBE.

Values from the calculation:
* excess energy over the best structure of this formula in the dataset: 38.7 kJ/mol of formula units

a = 6.1311 Å, b = 6.1311 Å, c = 6.1531 Å
α = 90.00°, β = 90.00°, γ = 90.00°
Last column: nearest neighbours and their distance in Å.
Atoms (fractional coordinates):
Pt 0.0000 0.0000 0.0000  4 Ba 3.07, 2 K 3.08
Ba 0.0000 0.5000 0.0000  2 Pt 3.07
Ba 0.5000 0.0000 0.0000  2 Pt 3.07
Cd 0.5000 0.5000 0.5000  4 K 4.34, 8 Ba 4.34
K 0.0000 0.0000 0.5000  2 Pt 3.08

***

This record from Alexandria via LeMat-Bulk describes a geometry-optimized KRbBa2Cd structure. The functional is PBE.

Values from the calculation:
* excess energy over the best structure of this formula in the dataset: 6.1 kJ/mol of formula units

a = 6.8443 Å, b = 7.2478 Å, c = 6.8443 Å
α = 90.00°, β = 90.00°, γ = 90.00°
Last column: nearest neighbours and their distance in Å.
Atoms (fractional coordinates):
Ba 0.5000 0.0000 0.0000  2 Cd 3.42
Ba 0.0000 0.0000 0.5000  2 Cd 3.42
K 0.5000 0.5000 0.5000  4 Rb 4.84, 8 Ba 4.98
Cd 0.0000 0.0000 0.0000  4 Ba 3.42, 2 Rb 3.62
Rb 0.0000 0.5000 0.0000  2 Cd 3.62

***

This record from Alexandria via LeMat-Bulk describes a geometry-optimized KRbBa2Cd structure. The functional is PBE.

Values from the calculation:
* excess energy over the best structure of this formula in the dataset: 0.0 kJ/mol of formula units

a = 6.8488 Å, b = 6.8488 Å, c = 7.0980 Å
α = 90.00°, β = 90.00°, γ = 90.00°
Last column: nearest neighbours and their distance in Å.
Atoms (fractional coordinates):
Cd 0.0000 0.0000 0.0000  4 Ba 3.42, 2 K 3.55
Ba 0.5000 0.0000 0.0000  2 Cd 3.42
K 0.0000 0.0000 0.5000  2 Cd 3.55
Rb 0.5000 0.5000 0.5000  4 K 4.84, 8 Ba 4.93
Ba 0.0000 0.5000 0.0000  2 Cd 3.42

***

This record from Alexandria via LeMat-Bulk describes a geometry-optimized KBa2CdRh structure. The functional is PBE.

Values from the calculation:
* excess energy over the best structure of this formula in the dataset: 68.0 kJ/mol of formula units

a = 5.9020 Å, b = 5.9020 Å, c = 6.2336 Å
α = 90.00°, β = 90.00°, γ = 90.00°
Last column: nearest neighbours and their distance in Å.
Atoms (fractional coordinates):
Cd 0.5000 0.5000 0.5000  4 K 4.17, 8 Ba 4.29
Rh 0.0000 0.0000 0.0000  4 Ba 2.95, 2 K 3.12
Ba 0.5000 0.0000 0.0000  2 Rh 2.95
Ba 0.0000 0.5000 0.0000  2 Rh 2.95
K 0.0000 0.0000 0.5000  2 Rh 3.12

***

This record from Alexandria via LeMat-Bulk describes a geometry-optimized KBa2CdRh structure. The functional is PBE.

Values from the calculation:
* excess energy over the best structure of this formula in the dataset: 0.0 kJ/mol of formula units

a = 6.0427 Å, b = 6.0427 Å, c = 5.5884 Å
α = 90.00°, β = 90.00°, γ = 90.00°
Last column: nearest neighbours and their distance in Å.
Atoms (fractional coordinates):
Ba 0.5000 0.0000 0.0000  2 Rh 3.02
Ba 0.0000 0.5000 0.0000  2 Rh 3.02
Cd 0.0000 0.0000 0.5000  2 Rh 2.79
Rh 0.0000 0.0000 0.0000  2 Cd 2.79, 4 Ba 3.02
K 0.5000 0.5000 0.5000  8 Ba 4.12, 4 Cd 4.27

***

This record from Alexandria via LeMat-Bulk describes a geometry-optimized KBa2CdRu structure. The functional is PBE.

a = 6.5218 Å, b = 6.0996 Å, c = 6.5218 Å
α = 90.00°, β = 90.00°, γ = 90.00°
Last column: nearest neighbours and their distance in Å.
Atoms (fractional coordinates):
Ba 0.0000 0.0000 0.5000  2 Cd 3.26
Ru 0.5000 0.5000 0.5000  8 Ba 4.46, 4 K 4.61
K 0.0000 0.5000 0.0000  2 Cd 3.05
Ba 0.5000 0.0000 0.0000  2 Cd 3.26
Cd 0.0000 0.0000 0.0000  2 K 3.05, 4 Ba 3.26

***

The records above give, respectively, calculated formation energy values of -0.252, 0.033, 0.020, 0.030, -0.111, 0.984 eV/atom.